CsSr2Tl2: optimized geometry, PBE.

## Properties
* formation energy: -0.18 eV per atom
* energy above the lowest structure with this stoichiometry: 30 meV per atom
* M_tot: 0.00 μB/atom
* SG: P4/mbm

abc: 10.003 10.003 4.250
angles: 90.00 90.00 90.00
Positions (direct):
1 Cs 0.000 0.000 0.000
2 Cs 0.500 0.500 0.000
3 Sr 0.161 0.339 0.500
4 Sr 0.339 0.839 0.500
5 Sr 0.661 0.161 0.500
6 Sr 0.839 0.661 0.500
7 Tl 0.126 0.626 0.000
8 Tl 0.374 0.126 0.000
9 Tl 0.626 0.874 0.000
10 Tl 0.874 0.374 0.000

---

Sm3YTh: optimized geometry, PBE.

## Properties
* formation energy: 0.19 eV per atom
* energy above the lowest structure with this stoichiometry: 0 meV per atom
* M_tot: 0.00 μB/atom
* SG: Cmmm

abc: 6.282 6.282 11.053
angles: 90.00 90.00 128.45
Positions (direct):
1 Sm 0.000 0.000 0.171
2 Sm 0.000 0.000 0.829
3 Sm 0.348 0.652 0.305
4 Sm 0.348 0.652 0.695
5 Sm 0.652 0.348 0.305
6 Sm 0.652 0.348 0.695
7 Y 0.344 0.656 0.000
8 Y 0.656 0.344 0.000
9 Th 0.136 0.864 0.500
10 Th 0.864 0.136 0.500

---

Li2YW: optimized geometry, PBE.

## Properties
* formation energy: 0.63 eV per atom
* energy above the lowest structure with this stoichiometry: 173 meV per atom
* M_tot: 0.00 μB/atom
* SG: Pmmm

abc: 2.930 5.032 5.488
angles: 90.00 90.00 90.00
Positions (direct):
1 Li 0.000 0.000 0.000
2 Li 0.500 0.500 0.000
3 Y 0.000 0.500 0.500
4 W 0.500 0.000 0.500

---

V2ReGeH: optimized geometry, PBE.

## Properties
* M_tot: 0.00 μB/atom
* energy: -38.94 eV per formula unit
* SG: P4/mmm

abc: 3.841 3.841 3.937
angles: 90.00 90.00 90.00
Positions (direct):
1 V 0.000 0.500 0.000
2 V 0.500 0.000 0.000
3 Re 0.000 0.000 0.500
4 Ge 0.500 0.500 0.500
5 H 0.000 0.000 0.000